Compound: CaPrCdCu
Source: Alexandria via LeMat-Bulk
Functional: PBE
Structure: relaxed Values from VASP.

## Properties
Raw total energy   -3.142 eV per atom
N(E_F)   0.853 states/eV per atom
SG   F-43m (216)

Geometry as Quantum ESPRESSO input:
```
&SYSTEM
  ibrav = 0, nat = 4, ntyp = 4
/
ATOMIC_SPECIES
Cu 63.55 Cu.upf
Pr 140.91 Pr.upf
Cd 112.41 Cd.upf
Ca 40.08 Ca.upf
ATOMIC_POSITIONS angstrom
Cu 2.640 1.524 1.078
Pr 0.000 0.000 0.000
Cd 7.920 4.572 3.233
Ca 5.280 3.048 2.155
CELL_PARAMETERS angstrom
5.280 0.000 0.000
2.640 4.572 0.000
2.640 1.524 4.311
```